# PmNdN2, optimized geometry, DFT GGA-PBE
data_PmNdN2
_chemical_formula_sum 'Pm8 Nd8 N16'
_cell_length_a 7.271
_cell_length_b 14.537
_cell_length_c 6.291
_cell_angle_alpha 90.00
_cell_angle_beta 125.29
_cell_angle_gamma 90.00
_space_group_name_H-M_alt 'C 1 2/c 1'
_space_group_IT_number 15
_space_group_name_Hall '-C 2yc'
loop_
_atom_site_label
_atom_site_type_symbol
_atom_site_fract_x
_atom_site_fract_y
_atom_site_fract_z
Pm1 Pm 0.000 0.062 0.250
Pm2 Pm 0.000 0.187 0.750
Nd1 Nd 0.000 0.312 0.250
Nd2 Nd 0.000 0.437 0.750
N1 N 0.247 0.063 0.748
N2 N 0.249 0.187 0.248
# Formation energy (no corrections), meV per atom: -1398
# Crystal system: monoclinic

=====

# PrYPtI, optimized geometry, DFT GGA-PBE
data_PrYPtI
_chemical_formula_sum 'Pr3 Y3 Pt3 I3'
_cell_length_a 4.2145
_cell_length_b 4.2145
_cell_length_c 24.2117
_cell_angle_alpha 90.00
_cell_angle_beta 90.00
_cell_angle_gamma 120.00
_space_group_name_H-M_alt 'R 3 m'
_space_group_IT_number 160
_space_group_name_Hall 'R 3 -2"'
loop_
_atom_site_label
_atom_site_type_symbol
_atom_site_fract_x
_atom_site_fract_y
_atom_site_fract_z
Pr1 Pr 0.0000 0.0000 0.0000
Y1 Y 0.0000 0.0000 0.2088
Pt1 Pt 0.0000 0.0000 0.6008
I1 I 0.0000 0.0000 0.7748
# Formation energy (no corrections), meV per atom: -1098
# Crystal system: trigonal

=====

# Sr2AlGa, optimized geometry, DFT GGA-PBE
data_Sr2AlGa
_chemical_formula_sum 'Sr6 Al3 Ga3'
_cell_length_a 3.9372
_cell_length_b 3.9372
_cell_length_c 33.6336
_cell_angle_alpha 90.00
_cell_angle_beta 90.00
_cell_angle_gamma 120.00
_space_group_name_H-M_alt 'R -3 m'
_space_group_IT_number 166
_space_group_name_Hall '-R 3 2"'
loop_
_atom_site_label
_atom_site_type_symbol
_atom_site_fract_x
_atom_site_fract_y
_atom_site_fract_z
Sr1 Sr 0.0000 0.0000 0.0987
Al1 Al 0.0000 0.0000 0.0000
Ga1 Ga 0.0000 0.0000 0.5000
# Formation energy from the elements, eV/atom: 0.282
# Crystal system: trigonal

=====

# YRhPb, optimized geometry, DFT GGA-PBE
data_YRhPb
_chemical_formula_sum 'Y2 Rh2 Pb2'
_cell_length_a 3.419
_cell_length_b 3.419
_cell_length_c 11.601
_cell_angle_alpha 90.00
_cell_angle_beta 90.00
_cell_angle_gamma 90.00
_space_group_name_H-M_alt 'I 4 m m'
_space_group_IT_number 107
_space_group_name_Hall 'I 4 -2'
loop_
_atom_site_label
_atom_site_type_symbol
_atom_site_fract_x
_atom_site_fract_y
_atom_site_fract_z
Y1 Y 0.000 0.000 0.000
Rh1 Rh 0.000 0.000 0.643
Pb1 Pb 0.000 0.000 0.290
# Formation energy from the elements, eV/atom: -0.450
# Crystal system: tetragonal

=====

# CeNd6DyEr2, optimized geometry, DFT GGA-PBE
data_CeNd6DyEr2
_chemical_formula_sum 'Ce2 Nd12 Dy2 Er4'
_cell_length_a 11.271
_cell_length_b 7.074
_cell_length_c 8.852
_cell_angle_alpha 90.00
_cell_angle_beta 103.18
_cell_angle_gamma 90.00
_space_group_name_H-M_alt 'C 1 2/m 1'
_space_group_IT_number 12
_space_group_name_Hall '-C 2y'
loop_
_atom_site_label
_atom_site_type_symbol
_atom_site_fract_x
_atom_site_fract_y
_atom_site_fract_z
Ce1 Ce 0.000 0.000 0.000
Nd1 Nd 0.128 0.000 0.419
Nd2 Nd 0.171 0.267 0.798
Dy1 Dy 0.000 0.500 0.500
Er1 Er 0.092 0.500 0.163
# Formation energy from the elements, eV/atom: 0.238
# Crystal system: monoclinic

=====

# ErPuCd, optimized geometry, DFT GGA-PBE
data_ErPuCd
_chemical_formula_sum 'Er2 Pu2 Cd2'
_cell_length_a 3.399
_cell_length_b 3.399
_cell_length_c 13.997
_cell_angle_alpha 90.00
_cell_angle_beta 90.00
_cell_angle_gamma 90.00
_space_group_name_H-M_alt 'I 4 m m'
_space_group_IT_number 107
_space_group_name_Hall 'I 4 -2'
loop_
_atom_site_label
_atom_site_type_symbol
_atom_site_fract_x
_atom_site_fract_y
_atom_site_fract_z
Er1 Er 0.000 0.000 0.000
Pu1 Pu 0.000 0.000 0.680
Cd1 Cd 0.000 0.000 0.346
# Formation energy from the elements, eV/atom: -0.020
# Crystal system: tetragonal

=====

# CePr2MoN4, optimized geometry, DFT GGA-PBE
data_CePr2MoN4
_chemical_formula_sum 'Ce4 Pr8 Mo4 N16'
_cell_length_a 3.486
_cell_length_b 12.128
_cell_length_c 12.430
_cell_angle_alpha 90.00
_cell_angle_beta 90.00
_cell_angle_gamma 90.00
_space_group_name_H-M_alt 'C m c m'
_space_group_IT_number 63
_space_group_name_Hall '-C 2c 2'
loop_
_atom_site_label
_atom_site_type_symbol
_atom_site_fract_x
_atom_site_fract_y
_atom_site_fract_z
Ce1 Ce 0.000 0.093 0.250
Pr1 Pr 0.000 0.369 0.040
Mo1 Mo 0.000 0.168 0.750
N1 N 0.000 0.000 0.000
N2 N 0.000 0.272 0.635
N3 N 0.000 0.438 0.250
# Formation energy (no corrections), meV per atom: -925
# Crystal system: orthorhombic

=====

# MoP, optimized geometry, DFT GGA-PBE
data_MoP
_chemical_formula_sum 'Mo4 P4'
_cell_length_a 4.3385
_cell_length_b 4.3385
_cell_length_c 7.3665
_cell_angle_alpha 90.00
_cell_angle_beta 90.00
_cell_angle_gamma 120.00
_space_group_name_H-M_alt 'P 63/m m c'
_space_group_IT_number 194
_space_group_name_Hall '-P 6c 2c'
loop_
_atom_site_label
_atom_site_type_symbol
_atom_site_fract_x
_atom_site_fract_y
_atom_site_fract_z
Mo1 Mo 0.3333 0.6667 0.0812
P1 P 0.0000 0.0000 0.2500
P2 P 0.3333 0.6667 0.7500
# Formation energy from the elements, eV/atom: 0.279
# Crystal system: hexagonal

=====

# ErCu4Tc, optimized geometry, DFT GGA-PBE
data_ErCu4Tc
_chemical_formula_sum 'Er4 Cu16 Tc4'
_cell_length_a 7.026
_cell_length_b 7.026
_cell_length_c 7.026
_cell_angle_alpha 90.00
_cell_angle_beta 90.00
_cell_angle_gamma 90.00
_space_group_name_H-M_alt 'F -4 3 m'
_space_group_IT_number 216
_space_group_name_Hall 'F -4 2 3'
loop_
_atom_site_label
_atom_site_type_symbol
_atom_site_fract_x
_atom_site_fract_y
_atom_site_fract_z
Er1 Er 0.000 0.000 0.000
Cu1 Cu 0.124 0.124 0.624
Tc1 Tc 0.250 0.250 0.250
# Formation energy from the elements, eV/atom: 0.022
# Crystal system: cubic

=====

# Zr5Hg2Pb, optimized geometry, DFT GGA-PBE
data_Zr5Hg2Pb
_chemical_formula_sum 'Zr10 Hg4 Pb2'
_cell_length_a 4.488
_cell_length_b 4.488
_cell_length_c 17.716
_cell_angle_alpha 90.00
_cell_angle_beta 90.00
_cell_angle_gamma 90.00
_space_group_name_H-M_alt 'I 4/m m m'
_space_group_IT_number 139
_space_group_name_Hall '-I 4 2'
loop_
_atom_site_label
_atom_site_type_symbol
_atom_site_fract_x
_atom_site_fract_y
_atom_site_fract_z
Zr1 Zr 0.000 0.000 0.000
Zr2 Zr 0.000 0.500 0.127
Hg1 Hg 0.000 0.000 0.250
Pb1 Pb 0.000 0.000 0.500
# Formation energy from the elements, eV/atom: -0.176
# Crystal system: tetragonal

=====

# KCd2As2, optimized geometry, DFT GGA-PBE
data_KCd2As2
_chemical_formula_sum 'K2 Cd4 As4'
_cell_length_a 4.567
_cell_length_b 4.567
_cell_length_c 12.537
_cell_angle_alpha 90.00
_cell_angle_beta 90.00
_cell_angle_gamma 90.00
_space_group_name_H-M_alt 'I 4/m m m'
_space_group_IT_number 139
_space_group_name_Hall '-I 4 2'
loop_
_atom_site_label
_atom_site_type_symbol
_atom_site_fract_x
_atom_site_fract_y
_atom_site_fract_z
K1 K 0.000 0.000 0.000
Cd1 Cd 0.000 0.500 0.250
As1 As 0.000 0.000 0.382
# Formation energy from the elements, eV/atom: -0.264
# Crystal system: tetragonal

=====

# Ba8Na3Ga2, optimized geometry, DFT GGA-PBE
data_Ba8Na3Ga2
_chemical_formula_sum 'Ba16 Na6 Ga4'
_cell_length_a 11.250
_cell_length_b 19.584
_cell_length_c 5.979
_cell_angle_alpha 90.00
_cell_angle_beta 90.00
_cell_angle_gamma 90.00
_space_group_name_H-M_alt 'C m m m'
_space_group_IT_number 65
_space_group_name_Hall '-C 2 2'
loop_
_atom_site_label
_atom_site_type_symbol
_atom_site_fract_x
_atom_site_fract_y
_atom_site_fract_z
Ba1 Ba 0.000 0.130 0.000
Ba2 Ba 0.000 0.322 0.000
Ba3 Ba 0.242 0.353 0.500
Na1 Na 0.000 0.000 0.500
Na2 Na 0.205 0.500 0.000
Ga1 Ga 0.000 0.237 0.500
# Formation energy from the elements, eV/atom: -0.055
# Crystal system: orthorhombic

=====

# AcTb3, optimized geometry, DFT GGA-PBE
data_AcTb3
_chemical_formula_sum 'Ac2 Tb6'
_cell_length_a 7.4440
_cell_length_b 7.4440
_cell_length_c 5.8765
_cell_angle_alpha 90.00
_cell_angle_beta 90.00
_cell_angle_gamma 120.00
_space_group_name_H-M_alt 'P 63/m m c'
_space_group_IT_number 194
_space_group_name_Hall '-P 6c 2c'
loop_
_atom_site_label
_atom_site_type_symbol
_atom_site_fract_x
_atom_site_fract_y
_atom_site_fract_z
Ac1 Ac 0.3333 0.6667 0.2500
Tb1 Tb 0.1624 0.3248 0.7500
# Formation energy from the elements, eV/atom: 0.048
# Crystal system: hexagonal

=====

# TiCr2S4, optimized geometry, DFT GGA-PBE
data_TiCr2S4
_chemical_formula_sum 'Ti2 Cr4 S8'
_cell_length_a 12.545
_cell_length_b 3.392
_cell_length_c 5.948
_cell_angle_alpha 90.00
_cell_angle_beta 116.35
_cell_angle_gamma 90.00
_space_group_name_H-M_alt 'C 1 m 1'
_space_group_IT_number 8
_space_group_name_Hall 'C -2y'
loop_
_atom_site_label
_atom_site_type_symbol
_atom_site_fract_x
_atom_site_fract_y
_atom_site_fract_z
Ti1 Ti 0.000 0.000 0.000
Cr1 Cr 0.017 0.500 0.588
Cr2 Cr 0.253 0.000 0.292
S1 S 0.124 0.500 0.324
S2 S 0.144 0.000 0.840
S3 S 0.371 0.000 0.734
S4 S 0.390 0.500 0.276
# Formation energy (no corrections), meV per atom: -925
# Crystal system: monoclinic

=====

# Cs3ErTe3, optimized geometry, DFT GGA-PBE
data_Cs3ErTe3
_chemical_formula_sum 'Cs12 Er4 Te12'
_cell_length_a 10.454
_cell_length_b 15.984
_cell_length_c 9.332
_cell_angle_alpha 90.00
_cell_angle_beta 101.86
_cell_angle_gamma 90.00
_space_group_name_H-M_alt 'C 1 2/m 1'
_space_group_IT_number 12
_space_group_name_Hall '-C 2y'
loop_
_atom_site_label
_atom_site_type_symbol
_atom_site_fract_x
_atom_site_fract_y
_atom_site_fract_z
Cs1 Cs 0.000 0.178 0.000
Cs2 Cs 0.000 0.249 0.500
Cs3 Cs 0.114 0.500 0.862
Er1 Er 0.172 0.000 0.643
Te1 Te 0.102 0.000 0.318
Te2 Te 0.197 0.353 0.224
# Formation energy (no corrections), meV per atom: -1218
# Crystal system: monoclinic

=====

# NbZnN3, optimized geometry, DFT GGA-PBE
data_NbZnN3
_chemical_formula_sum 'Nb1 Zn1 N3'
_cell_length_a 4.066
_cell_length_b 4.066
_cell_length_c 4.066
_cell_angle_alpha 90.00
_cell_angle_beta 90.00
_cell_angle_gamma 90.00
_space_group_name_H-M_alt 'P m -3 m'
_space_group_IT_number 221
_space_group_name_Hall '-P 4 2 3'
loop_
_atom_site_label
_atom_site_type_symbol
_atom_site_fract_x
_atom_site_fract_y
_atom_site_fract_z
Nb1 Nb 0.000 0.000 0.000
Zn1 Zn 0.500 0.500 0.500
N1 N 0.000 0.000 0.500
# Formation energy (no corrections), meV per atom: 763
# Crystal system: cubic

=====

# TbPm5Pr6, optimized geometry, DFT GGA-PBE
data_TbPm5Pr6
_chemical_formula_sum 'Tb2 Pm10 Pr12'
_cell_length_a 6.377
_cell_length_b 11.049
_cell_length_c 12.147
_cell_angle_alpha 90.00
_cell_angle_beta 100.12
_cell_angle_gamma 90.00
_space_group_name_H-M_alt 'C 1 2/m 1'
_space_group_IT_number 12
_space_group_name_Hall '-C 2y'
loop_
_atom_site_label
_atom_site_type_symbol
_atom_site_fract_x
_atom_site_fract_y
_atom_site_fract_z
Tb1 Tb 0.000 0.000 0.000
Pm1 Pm 0.000 0.167 0.500
Pm2 Pm 0.000 0.333 0.000
Pm3 Pm 0.000 0.500 0.500
Pr1 Pr 0.249 0.166 0.249
Pr2 Pr 0.250 0.000 0.751
# Formation energy from the elements, eV/atom: 0.012
# Crystal system: monoclinic

=====

# BaLiCdHg, optimized geometry, DFT GGA-PBE
data_BaLiCdHg
_chemical_formula_sum 'Ba4 Li4 Cd4 Hg4'
_cell_length_a 7.871
_cell_length_b 7.871
_cell_length_c 7.871
_cell_angle_alpha 90.00
_cell_angle_beta 90.00
_cell_angle_gamma 90.00
_space_group_name_H-M_alt 'F -4 3 m'
_space_group_IT_number 216
_space_group_name_Hall 'F -4 2 3'
loop_
_atom_site_label
_atom_site_type_symbol
_atom_site_fract_x
_atom_site_fract_y
_atom_site_fract_z
Ba1 Ba 0.000 0.000 0.000
Li1 Li 0.000 0.000 0.500
Cd1 Cd 0.250 0.250 0.250
Hg1 Hg 0.250 0.250 0.750
# Formation energy from the elements, eV/atom: -0.265
# Crystal system: cubic

=====

# Y2UTaN4, optimized geometry, DFT GGA-PBE
data_Y2UTaN4
_chemical_formula_sum 'Y2 U1 Ta1 N4'
_cell_length_a 5.755
_cell_length_b 3.356
_cell_length_c 5.859
_cell_angle_alpha 90.00
_cell_angle_beta 108.82
_cell_angle_gamma 90.00
_space_group_name_H-M_alt 'P 1 2/m 1'
_space_group_IT_number 10
_space_group_name_Hall '-P 2y'
loop_
_atom_site_label
_atom_site_type_symbol
_atom_site_fract_x
_atom_site_fract_y
_atom_site_fract_z
Y1 Y 0.000 0.000 0.000
Y2 Y 0.500 0.500 0.000
U1 U 0.000 0.500 0.500
Ta1 Ta 0.500 0.000 0.500
N1 N 0.251 0.000 0.729
N2 N 0.265 0.500 0.279
# Formation energy (no corrections), meV per atom: -1440
# Crystal system: monoclinic

=====

# ZnRu5, optimized geometry, DFT GGA-PBE
data_ZnRu5
_chemical_formula_sum 'Zn1 Ru5'
_cell_length_a 4.9394
_cell_length_b 4.9394
_cell_length_c 4.5637
_cell_angle_alpha 90.00
_cell_angle_beta 90.00
_cell_angle_gamma 120.00
_space_group_name_H-M_alt 'P 6/m m m'
_space_group_IT_number 191
_space_group_name_Hall '-P 6 2'
loop_
_atom_site_label
_atom_site_type_symbol
_atom_site_fract_x
_atom_site_fract_y
_atom_site_fract_z
Zn1 Zn 0.0000 0.0000 0.0000
Ru1 Ru 0.0000 0.5000 0.5000
Ru2 Ru 0.3333 0.6667 0.0000
# Formation energy from the elements, eV/atom: 0.670
# Crystal system: hexagonal